DFT (PBE-GGA) results for a relaxed structure of Mn4InTe8.

Calculated values
Formation energy without anion corrections   -0.194 eV/atom
Space-group type   R-3m

Unit cell a=7.7533 b=7.7533 c=8.7921 alpha=63.84 beta=63.84 gamma=60.00
Last column: magnetic moment on the atom in μB.
Element x y z (fractional)
Te (0.7639, 0.7639, 0.2058)  -0.11
Te (0.2361, 0.2361, 0.7942)  -0.11
Te (0.2664, 0.7639, 0.2058)  -0.11
Te (0.2361, 0.7336, 0.7942)  -0.11
Te (0.7639, 0.2664, 0.2058)  -0.11
Te (0.2657, 0.2657, 0.2030)  -0.13
Te (0.7336, 0.2361, 0.7942)  -0.11
Te (0.7343, 0.7343, 0.7970)  -0.13
In (0.5000, 0.5000, 0.5000)  -0.01
Mn (0.0000, 0.5000, 0.0000)  3.29
Mn (0.5000, 0.0000, 0.0000)  3.29
Mn (0.5000, 0.5000, 0.0000)  3.29
Mn (0.0000, 0.0000, 0.0000)  3.64